No. 1
Below is a geometry-optimized Cr2IrSe structure, with properties calculated at the GGA-PBE level.

Cell lengths 2.9890, 3.4951, 5.6924 Å; angles 90.00, 90.00, 90.00 degrees
With the nearest neighbours (Å) after each atom.
Atoms (fractional coordinates):
Se: 0.5000 0.5000 0.8011  5 Cr 2.54-2.62
Cr: 0.5000 0.5000 0.2612  4 Ir 2.54, 1 Se 2.62, 4 Cr 2.77
Cr: 0.0000 0.0000 0.9886  4 Se 2.54, 1 Ir 2.62, 4 Cr 2.77
Ir: 0.0000 0.0000 0.4491  5 Cr 2.54-2.62

The value obtained for the formation energy (no corrections) is 0.7 eV per formula unit. Its space-group type is Pmm2.

---

No. 2
Below is a geometry-optimized Al2Ga structure, with properties calculated at the GGA-PBE level.

Cell lengths 4.2315, 4.5469, 4.5415 Å; angles 120.04, 123.53, 90.00 degrees
With the nearest neighbours (Å) after each atom.
Atoms (fractional coordinates):
Al: 0.7994 0.2637 0.5275  4 Ga 2.61-2.71
Al: 0.2006 0.7363 0.4725  4 Ga 2.61-2.71
Ga: 0.0000 0.0000 0.0000  8 Al 2.61-2.71

Its space-group type is C2/m. The value obtained for the final energy is -3.40 eV/atom.

---

No. 3
Below is a geometry-optimized RbMgFe2As structure, with properties calculated at the GGA-PBE level.

Cell lengths 4.7544, 5.4809, 4.7544 Å; angles 90.00, 90.00, 90.00 degrees
With the nearest neighbours (Å) after each atom.
Atoms (fractional coordinates):
Fe: 0.0000 0.0000 0.5000  2 Mg 2.38
Fe: 0.5000 0.0000 0.0000  2 Mg 2.38
Rb: 0.0000 0.5000 0.0000  2 Mg 2.74
Mg: 0.0000 0.0000 0.0000  4 Fe 2.38
As: 0.5000 0.5000 0.5000  4 Rb 3.36, 8 Fe 3.63

Its space-group type is P4/mmm. The value obtained for the final energy is -2.94 eV/atom.

---

No. 4
Below is a geometry-optimized SrHf3Cu structure, with properties calculated at the GGA-PBE level.

Cell lengths 5.0580, 5.0580, 5.0580 Å; angles 90.00, 90.00, 90.00 degrees
With the nearest neighbours (Å) after each atom.
Atoms (fractional coordinates):
Cu: 0.0000 0.0000 0.0000  6 Hf 2.53
Hf: 0.0000 0.5000 0.0000  2 Cu 2.53
Hf: 0.5000 0.0000 0.0000  2 Cu 2.53
Hf: 0.0000 0.0000 0.5000  2 Cu 2.53
Sr: 0.5000 0.5000 0.5000  12 Hf 3.58

Its space-group type is Pm-3m. The value obtained for the final energy is -6.50 eV/atom.

---

No. 5
Below is a geometry-optimized Ba2PbN structure, with properties calculated at the GGA-PBE level.

Cell lengths 5.6874, 5.6874, 5.6874 Å; angles 60.00, 60.00, 60.00 degrees
With the nearest neighbours (Å) after each atom.
Atoms (fractional coordinates):
Ba: 0.2500 0.2500 0.2500  4 Pb 3.48, 4 N 3.48
Ba: 0.7500 0.7500 0.7500  4 Pb 3.48, 4 N 3.48
Pb: 0.5000 0.5000 0.5000  8 Ba 3.48
N: 0.0000 0.0000 0.0000  8 Ba 3.48

The value obtained for the formation energy (no corrections) is 1.7 eV per formula unit. Its space-group type is Fm-3m.

---

No. 6
Below is a geometry-optimized CeTmScAg structure, with properties calculated at the GGA-PBE level.

Cell lengths 5.1531, 5.1531, 5.1531 Å; angles 60.00, 60.00, 60.00 degrees
With the nearest neighbours (Å) after each atom.
Atoms (fractional coordinates):
Sc: 0.5000 0.5000 0.5000  4 Ce 3.16, 4 Ag 3.16
Ce: 0.7500 0.7500 0.7500  4 Sc 3.16, 4 Tm 3.16
Ag: 0.2500 0.2500 0.2500  4 Sc 3.16, 4 Tm 3.16
Tm: 0.0000 0.0000 0.0000  4 Ag 3.16, 4 Ce 3.16

Its space-group type is F-43m. The value obtained for the final energy is -4.78 eV/atom.

---

No. 7
Below is a geometry-optimized La3CrTe structure, with properties calculated at the GGA-PBE level.

Cell lengths 5.2725, 5.2725, 5.2725 Å; angles 90.00, 90.00, 90.00 degrees
With the nearest neighbours (Å) after each atom.
Atoms (fractional coordinates):
La: 0.0000 0.0000 0.5000  2 Cr 2.64
La: 0.0000 0.5000 0.0000  2 Cr 2.64
La: 0.5000 0.0000 0.0000  2 Cr 2.64
Te: 0.5000 0.5000 0.5000  12 La 3.73
Cr: 0.0000 0.0000 0.0000  6 La 2.64

The value obtained for the formation energy (no corrections) is -1.4 eV per formula unit. Its space-group type is Pm-3m.

---

No. 8
Below is a geometry-optimized Pr4Sm2YMg structure, with properties calculated at the GGA-PBE level.

Cell lengths 5.1255, 5.1260, 11.3892 Å; angles 63.23, 90.00, 90.00 degrees
With the nearest neighbours (Å) after each atom.
Atoms (fractional coordinates):
Sm: 0.5000 0.0000 0.5000  4 Y 3.62, 8 Pr 3.63-3.64
Sm: 0.0000 0.0000 0.0000  8 Pr 3.58, 4 Mg 3.62
Pr: 0.5000 0.2467 0.7537  2 Mg 3.58, 4 Sm 3.58-3.64, 4 Pr 3.62-3.63, 2 Y 3.64
Pr: 0.5000 0.7533 0.2463  2 Mg 3.58, 4 Sm 3.58-3.64, 4 Pr 3.62-3.63, 2 Y 3.64
Pr: 0.0000 0.2540 0.2459  4 Sm 3.58-3.64, 2 Mg 3.58, 4 Pr 3.62-3.63, 2 Y 3.64
Pr: 0.0000 0.7460 0.7541  4 Sm 3.58-3.64, 2 Mg 3.58, 4 Pr 3.62-3.63, 2 Y 3.64
Mg: 0.5000 0.5000 0.0000  8 Pr 3.58, 4 Sm 3.62
Y: 0.0000 0.5000 0.5000  4 Sm 3.62, 8 Pr 3.64

Its space-group type is P4/mmm. The value obtained for the final energy is -4.57 eV/atom.

---

No. 9
Below is a geometry-optimized NaIr2Pt4 structure, with properties calculated at the GGA-PBE level.

Cell lengths 4.6736, 4.6736, 7.1670 Å; angles 70.97, 70.97, 90.00 degrees
With the nearest neighbours (Å) after each atom.
Atoms (fractional coordinates):
Pt: 0.5000 0.0000 0.0000  2 Na 2.34
Pt: 0.0000 0.5000 0.0000  2 Na 2.34
Pt: 0.2095 0.2095 0.5810  1 Ir 2.41, 1 Na 2.66
Pt: 0.7905 0.7905 0.4190  1 Ir 2.41, 1 Na 2.66
Ir: 0.3990 0.3990 0.2021  5 Pt 2.41-2.67, 1 Ir 2.57
Ir: 0.6010 0.6010 0.7979  5 Pt 2.41-2.67, 1 Ir 2.57
Na: 0.0000 0.0000 0.0000  4 Pt 2.34

Its space-group type is I4/mmm. The value obtained for the final energy is -4.93 eV/atom.

---

No. 10
Below is a geometry-optimized RbBaP2H structure, with properties calculated at the GGA-PBE level.

Cell lengths 4.8199, 4.8628, 4.8199 Å; angles 90.00, 90.00, 90.00 degrees
With the nearest neighbours (Å) after each atom.
Atoms (fractional coordinates):
P: 0.5000 0.0000 0.0000  2 H 2.41
P: 0.0000 0.0000 0.5000  2 H 2.41
Rb: 0.0000 0.5000 0.0000  2 H 2.43
H: 0.0000 0.0000 0.0000  4 P 2.41, 2 Rb 2.43
Ba: 0.5000 0.5000 0.5000  4 Rb 3.41, 8 P 3.42

Its space-group type is P4/mmm. The value obtained for the final energy is -3.31 eV/atom.

---

No. 11
Below is a geometry-optimized CsLi3Ru structure, with properties calculated at the GGA-PBE level.

Cell lengths 5.0875, 5.0875, 5.0875 Å; angles 90.00, 90.00, 90.00 degrees
With the nearest neighbours (Å) after each atom.
Atoms (fractional coordinates):
Li: 0.0000 0.0000 0.5000  2 Ru 2.54
Li: 0.5000 0.0000 0.0000  2 Ru 2.54
Li: 0.0000 0.5000 0.0000  2 Ru 2.54
Cs: 0.5000 0.5000 0.5000  12 Li 3.60
Ru: 0.0000 0.0000 0.0000  6 Li 2.54

Its space-group type is Pm-3m. The value obtained for the final energy is -2.53 eV/atom.

---

No. 12
Below is a geometry-optimized PmGeHIr2 structure, with properties calculated at the GGA-PBE level.

Cell lengths 3.9861, 5.7677, 7.2701 Å; angles 90.00, 90.00, 110.22 degrees
With the nearest neighbours (Å) after each atom.
Atoms (fractional coordinates):
Ge: 0.2768 0.5536 0.2500  6 Ir 2.54-2.55
Ge: 0.7232 0.4464 0.7500  6 Ir 2.54-2.55
Ir: 0.1593 0.3186 0.9457  1 H 1.77
Ir: 0.1593 0.3186 0.5543  1 H 1.77
Ir: 0.8407 0.6814 0.4457  1 H 1.77
Ir: 0.8407 0.6814 0.0543  1 H 1.77
Pm: 0.5583 0.1165 0.2500  4 H 2.77, 3 Ge 3.05-3.09
Pm: 0.4417 0.8835 0.7500  4 H 2.77, 3 Ge 3.05-3.09
H: 0.0000 0.0000 0.5000  2 Ir 1.77
H: 0.0000 0.0000 0.0000  2 Ir 1.77

Its space-group type is Cmcm. The value obtained for the final energy is -6.64 eV/atom.

---

No. 13
Below is a geometry-optimized Zr4Tl2Hg structure, with properties calculated at the GGA-PBE level.

Cell lengths 3.3524, 4.2892, 11.5627 Å; angles 100.69, 90.00, 90.00 degrees
With the nearest neighbours (Å) after each atom.
Atoms (fractional coordinates):
Zr: 0.0000 0.6442 0.2885  4 Tl 3.06, 6 Zr 3.20-3.35, 1 Hg 3.28
Zr: 0.5000 0.9298 0.8596  1 Tl 3.09, 4 Hg 3.16, 7 Zr 3.19-3.35
Zr: 0.5000 0.0702 0.1404  1 Tl 3.09, 4 Hg 3.16, 7 Zr 3.19-3.35
Zr: 0.0000 0.3558 0.7115  4 Tl 3.06, 6 Zr 3.20-3.35, 1 Hg 3.28
Tl: 0.5000 0.2061 0.4123  2 Tl 2.93, 5 Zr 3.06-3.09
Tl: 0.5000 0.7939 0.5877  2 Tl 2.93, 5 Zr 3.06-3.09
Hg: 0.0000 0.5000 0.0000  10 Zr 3.16-3.28, 2 Hg 3.35

Its space-group type is Cmmm. The value obtained for the final energy is -5.60 eV/atom.

---

No. 14
Below is a geometry-optimized Ca2MgGa3 structure, with properties calculated at the GGA-PBE level.

Cell lengths 3.9523, 4.6830, 8.5725 Å; angles 105.85, 103.33, 90.00 degrees
With the nearest neighbours (Å) after each atom.
Atoms (fractional coordinates):
Ga: 0.7009 0.7009 0.4018  3 Ga 2.48-2.53
Ga: 0.2945 0.7945 0.5890  2 Ga 2.48, 1 Mg 2.69
Ga: 0.5427 0.5427 0.0854  1 Ga 2.53, 2 Mg 2.67
Ca: 0.1387 0.1387 0.2775  10 Ga 3.22-3.43, 2 Mg 3.45
Ca: 0.8609 0.3609 0.7217  8 Ga 3.24-3.52, 4 Mg 3.47
Mg: 0.4623 0.9623 0.9245  3 Ga 2.67-2.69

Its space-group type is Imm2. The value obtained for the final energy is -2.81 eV/atom.

---

No. 15
Below is a geometry-optimized SrLaGa2 structure, with properties calculated at the GGA-PBE level.

Cell lengths 3.8048, 3.8048, 7.7966 Å; angles 90.00, 90.00, 90.00 degrees
With the nearest neighbours (Å) after each atom.
Atoms (fractional coordinates):
Ga: 0.0000 0.0000 0.7620  4 La 3.27, 4 Sr 3.38
Ga: 0.0000 0.0000 0.2380  4 La 3.27, 4 Sr 3.38
Sr: 0.5000 0.5000 0.5000  8 Ga 3.38
La: 0.5000 0.5000 0.0000  8 Ga 3.27

Its space-group type is P4/mmm. The value obtained for the final energy is -3.62 eV/atom.

---

No. 16
Below is a geometry-optimized BaP2Cl structure, with properties calculated at the GGA-PBE level.

Cell lengths 8.3794, 8.3794, 8.3794 Å; angles 29.55, 29.55, 29.55 degrees
With the nearest neighbours (Å) after each atom.
Atoms (fractional coordinates):
Ba: 0.5091 0.5091 0.5091  3 Cl 3.02
Cl: 0.7699 0.7699 0.7699  3 Ba 3.02
P: 0.2769 0.2769 0.2769  3 P 2.47
P: 0.9441 0.9441 0.9441  3 P 2.47

The value obtained for the formation energy (no corrections) is -3.4 eV per formula unit. Its space-group type is R3m.

---

No. 17
Below is a geometry-optimized Zr2TaRe structure, with properties calculated at the GGA-PBE level.

Cell lengths 2.9519, 2.9519, 9.6663 Å; angles 90.00, 90.00, 112.70 degrees
With the nearest neighbours (Å) after each atom.
Atoms (fractional coordinates):
Zr: 0.0000 0.0000 0.9862  8 Zr 2.95-3.27, 2 Ta 3.01
Zr: 0.5000 0.5000 0.2784  2 Re 2.78, 4 Zr 2.95
Re: 0.0000 0.0000 0.5109  2 Ta 2.63, 2 Zr 2.78
Ta: 0.5000 0.5000 0.7245  2 Re 2.63

Its space-group type is Cmm2. The value obtained for the final energy is -10.35 eV/atom.

---

No. 18
Below is a geometry-optimized LiSc2Rh structure, with properties calculated at the GGA-PBE level.

Cell lengths 8.4811, 8.4811, 8.4811 Å; angles 24.24, 24.24, 24.24 degrees
With the nearest neighbours (Å) after each atom.
Atoms (fractional coordinates):
Rh: 0.7500 0.7500 0.7500  6 Sc 2.59
Li: 0.2500 0.2500 0.2500  6 Sc 3.26, 6 Li 3.56
Sc: 0.4807 0.4807 0.4807  3 Rh 2.59
Sc: 0.0193 0.0193 0.0193  3 Rh 2.59

Its space-group type is R-3m. The value obtained for the final energy is -5.74 eV/atom.

---

No. 19
Below is a geometry-optimized BC2 structure, with properties calculated at the GGA-PBE level.

Cell lengths 4.5747, 4.5747, 7.5600 Å; angles 113.65, 113.65, 32.97 degrees
With the nearest neighbours (Å) after each atom.
Atoms (fractional coordinates):
B: 0.6977 0.6977 0.3183  3 C 1.57-1.58
B: 0.8332 0.8332 0.0337  4 C 1.64-1.70
B: 0.4690 0.4690 0.3901  3 C 1.57-1.58
B: 0.3335 0.3335 0.6746  4 C 1.64-1.70
C: 0.1564 0.1564 0.1901  2 C 1.54-1.55, 2 B 1.57
C: 0.1640 0.1640 0.7158  3 C 1.54-1.56, 1 B 1.64
C: 0.5044 0.5044 0.8786  3 C 1.56-1.58, 1 B 1.64
C: 0.3272 0.3272 0.1753  1 C 1.55, 3 B 1.58-1.70
C: 0.8395 0.8395 0.5330  1 C 1.55, 3 B 1.58-1.70
C: 0.6623 0.6623 0.8297  3 C 1.56-1.58, 1 B 1.64
C: 0.0103 0.0103 0.5182  2 C 1.54-1.55, 2 B 1.57
C: 0.0026 0.0026 0.9926  3 C 1.54-1.56, 1 B 1.64

Its space-group type is C2/m. The value obtained for the final energy is -8.03 eV/atom.

---

No. 20
Below is a geometry-optimized K4Pr3SiO8 structure, with properties calculated at the GGA-PBE level.

Cell lengths 6.9856, 7.5010, 6.9848 Å; angles 117.78, 120.00, 90.00 degrees
With the nearest neighbours (Å) after each atom.
Atoms (fractional coordinates):
K: 0.5000 0.0000 0.5000  6 O 2.74-2.80
K: 0.0000 0.0000 0.5000  6 O 2.74-2.80
K: 0.0000 0.0000 0.0000  6 O 2.74-2.80
K: 0.5000 0.0000 0.0000  6 O 3.20, 6 K 3.49
O: 0.7878 0.6668 0.9773  1 Si 1.93
O: 0.2643 0.2932 0.5287  3 Pr 2.40
O: 0.2122 0.3332 0.0227  1 Si 1.93
O: 0.8104 0.3332 0.0227  1 Si 1.93
O: 0.1901 0.6672 0.3801  1 Si 1.94
O: 0.1896 0.6668 0.9773  1 Si 1.93
O: 0.7357 0.7068 0.4713  3 Pr 2.40
O: 0.8099 0.3328 0.6199  1 Si 1.94
Si: 0.0000 0.5000 0.0000  6 O 1.93-1.94
Pr: 0.0000 0.5000 0.5000  6 O 2.40-2.48
Pr: 0.5000 0.5000 0.5000  6 O 2.40-2.48
Pr: 0.5000 0.5000 0.0000  6 O 2.40-2.48

The value obtained for the formation energy (no corrections) is -35.9 eV per formula unit. Its space-group type is R-3m.

---

The M_tot results, record by record, are as follows: 0.44, 0.00, 0.07, 0.00, 0.01, 3.01, 0.00, 0.00, 0.00, 0.00, 0.17, 0.00, 0.00, 0.00, 0.00, 0.00, 0.00, 0.00, 0.00, 0.00 μB/f.u..